# 1
# meta-GGA SCAN ZnIrRu2, single point on PBEsol structure
data_ZnIrRu2
_symmetry_space_group_name_H-M 'P 4 m m'
_symmetry_Int_Tables_number 99
_cell_length_a 2.7117
_cell_length_b 2.7117
_cell_length_c 7.3302
_cell_angle_alpha 90.00
_cell_angle_beta 90.00
_cell_angle_gamma 90.00
loop_
_symmetry_equiv_pos_as_xyz
'x,y,z'
'-y,x,z'
'-x,-y,z'
'y,-x,z'
'-x,y,z'
'y,x,z'
'x,-y,z'
'-y,-x,z'
loop_
_atom_site_label
_atom_site_type_symbol
_atom_site_fract_x
_atom_site_fract_y
_atom_site_fract_z
Zn1 Zn 0.0000 0.0000 0.0000
Ir1 Ir 0.5000 0.5000 0.2528
Ru1 Ru 0.0000 0.0000 0.5065
Ru2 Ru 0.5000 0.5000 0.7456
# D(E_F)	0.7448	states/eV/atom
# M_tot	0.00	μB/f.u.
# energy relative to the elements	-0.06	eV/f.u.
# crystal system	tetragonal

# 2
# meta-GGA SCAN LaReCl2, single point on PBEsol structure
data_LaReCl2
_symmetry_space_group_name_H-M 'P m m m'
_symmetry_Int_Tables_number 47
_cell_length_a 3.2954
_cell_length_b 4.5154
_cell_length_c 5.3746
_cell_angle_alpha 90.00
_cell_angle_beta 90.00
_cell_angle_gamma 90.00
loop_
_symmetry_equiv_pos_as_xyz
'x,y,z'
'-x,-y,-z'
'-x,-y,z'
'x,y,-z'
'x,-y,-z'
'-x,y,z'
'-x,y,-z'
'x,-y,z'
loop_
_atom_site_label
_atom_site_type_symbol
_atom_site_fract_x
_atom_site_fract_y
_atom_site_fract_z
La1 La 0.0000 0.0000 0.0000
Re1 Re 0.5000 0.0000 0.5000
Cl1 Cl 0.0000 0.5000 0.5000
Cl2 Cl 0.5000 0.5000 0.0000
# D(E_F)	0.4979	states/eV/atom
# energy relative to the elements, uncorrected	-163	meV per atom
# M_tot	1.76	μB/f.u.
# E above lowest polymorph	0.390	eV per atom
# crystal system	orthorhombic